# 1
The following is a DFT calculation (PBE) of a relaxed Sr3InGe2Au6 crystal.

ΔH_f (0 K)   -0.458 eV per atom
Electronic total energy   -42.18 eV/f.u.

a = 6.6038 Å, b = 6.6038 Å, c = 8.3753 Å
α = 90.00°, β = 90.00°, γ = 120.00°
Positions (direct):
Au (0.8166, 0.1834, 0.7124)
Au (0.1834, 0.8166, 0.2876)
Sr (0.3333, 0.6667, 0.6536)
Sr (0.6667, 0.3333, 0.3464)
Au (0.8166, 0.6331, 0.7124)
Ge (0.6667, 0.3333, 0.9454)
Sr (0.0000, 0.0000, 0.0000)
Au (0.1834, 0.3669, 0.2876)
In (0.0000, 0.0000, 0.5000)
Ge (0.3333, 0.6667, 0.0546)
Au (0.6331, 0.8166, 0.2876)
Au (0.3669, 0.1834, 0.7124)

# 2
The following is a DFT calculation (PBE) of a relaxed PmGa4Ni2Ir crystal.

ΔH_f (0 K)   -0.477 eV per atom
Electronic total energy   -41.10 eV/f.u.

a = 4.1394 Å, b = 4.1394 Å, c = 9.2585 Å
α = 77.08°, β = 77.08°, γ = 60.00°
Positions (direct):
Ga (0.1288, 0.1288, 0.6135)
Ga (0.5976, 0.5976, 0.2072)
Ga (0.8712, 0.8712, 0.3865)
Ni (0.2293, 0.2293, 0.3122)
Ni (0.7707, 0.7707, 0.6878)
Ir (0.5000, 0.5000, 0.5000)
Pm (0.0000, 0.0000, 0.0000)
Ga (0.4024, 0.4024, 0.7928)

# 3
The following is a DFT calculation (PBE) of a relaxed MnFeHIrPd crystal.

Electronic total energy   -34.88 eV/f.u.
Energy above the most stable polymorph in this dataset   0.31 eV per formula unit

a = 2.8540 Å, b = 2.8540 Å, c = 7.1010 Å
α = 90.00°, β = 90.00°, γ = 90.00°
Positions (direct):
Mn (0.5000, 0.5000, 0.9855)
Pd (0.5000, 0.5000, 0.4544)
Ir (0.0000, 0.0000, 0.7759)
H (0.0000, 0.0000, 0.5295)
Fe (0.0000, 0.0000, 0.2059)

# 4
The following is a DFT calculation (PBE) of a relaxed CsAcCdI6 crystal.

Electronic total energy   -26.10 eV/f.u.
ΔE_f (raw)   -1.21 eV per atom

a = 8.1804 Å, b = 8.1804 Å, c = 17.1735 Å
α = 90.00°, β = 90.00°, γ = 120.00°
Positions (direct):
I (0.9787, 0.3613, 0.1434)
I (0.0213, 0.6387, 0.8566)
I (0.9787, 0.6173, 0.3566)
Cd (0.3333, 0.6667, 0.7500)
I (0.6387, 0.0213, 0.3566)
I (0.6387, 0.6173, 0.1434)
I (0.0213, 0.3827, 0.6434)
I (0.3827, 0.3613, 0.3566)
Cs (0.0000, 0.0000, 0.5000)
Cs (0.0000, 0.0000, 0.0000)
I (0.3613, 0.9787, 0.6434)
Ac (0.3333, 0.6667, 0.2500)
Cd (0.6667, 0.3333, 0.2500)
I (0.6173, 0.6387, 0.6434)
I (0.6173, 0.9787, 0.8566)
I (0.3613, 0.3827, 0.8566)
I (0.3827, 0.0213, 0.1434)
Ac (0.6667, 0.3333, 0.7500)